1.
Crystalline Pr5Co2Ge at its relaxed geometry. Source: the Alexandria database, functional GGA-PBE.

a b c (Å): 7.790 7.790 8.744
angles (deg): 116.45 116.45 90.00
Fractional coordinates of all 16 atoms:
1 Pr 0.808 0.973 0.281
2 Pr 0.192 0.027 0.719
3 Pr 0.500 0.500 0.000
4 Pr 0.000 0.000 0.000
5 Pr 0.527 0.692 0.719
6 Pr 0.973 0.473 0.281
7 Pr 0.473 0.308 0.281
8 Pr 0.692 0.192 0.719
9 Pr 0.308 0.808 0.281
10 Pr 0.027 0.527 0.719
11 Co 0.886 0.614 0.000
12 Co 0.114 0.386 0.000
13 Co 0.614 0.114 0.000
14 Co 0.386 0.886 0.000
15 Ge 0.750 0.750 0.500
16 Ge 0.250 0.250 0.500

The volume comes out at 25.8 A^3/atom. The formation energy comes out at -235 meV/atom. Its density of states at the Fermi level is 1.173 states/eV/atom. As for the total energy: -89.2 eV per cell. The crystal system is tetragonal.

2.
Crystalline Pr3Co2Ge4 at its relaxed geometry. Source: the Alexandria database, functional GGA-PBE.

a b c (Å): 4.149 6.002 8.403
angles (deg): 99.47 90.00 110.22
Last column: magnetic moment on the atom in μB.
Fractional coordinates of all 9 atoms:
1 Pr 0.000 0.000 0.000  -0.01
2 Pr 0.661 0.321 0.657  0.01
3 Pr 0.339 0.679 0.343  0.01
4 Ge 0.061 0.122 0.377  0.01
5 Ge 0.939 0.878 0.623  0.01
6 Ge 0.723 0.445 0.078  0.00
7 Ge 0.277 0.555 0.922  0.00
8 Co 0.603 0.207 0.276  0.27
9 Co 0.397 0.793 0.724  0.27

The value obtained for the energy relative to the lowest polymorph listed for this composition is 41 meV per atom. The volume comes out at 21.5 A^3/atom. The formation energy comes out at -625 meV/atom. Its density of states at the Fermi level is 0.999 states/eV/atom. As for the total energy: -52.6 eV per cell. The crystal system is monoclinic.

3.
Crystalline PrCo6Ge12 at its relaxed geometry. Source: the Alexandria database, functional GGA-PBE.

a b c (Å): 6.993 6.993 6.993
angles (deg): 105.28 105.28 105.28
Fractional coordinates of all 19 atoms:
1 Ge 0.595 0.853 0.595
2 Ge 0.500 0.883 0.117
3 Ge 0.853 0.595 0.595
4 Ge 0.595 0.595 0.853
5 Ge 0.500 0.117 0.883
6 Ge 0.883 0.117 0.500
7 Ge 0.117 0.500 0.883
8 Ge 0.405 0.405 0.147
9 Ge 0.117 0.883 0.500
10 Ge 0.405 0.147 0.405
11 Ge 0.883 0.500 0.117
12 Ge 0.147 0.405 0.405
13 Co 0.291 0.716 0.716
14 Co 0.709 0.284 0.284
15 Co 0.716 0.716 0.291
16 Co 0.284 0.284 0.709
17 Co 0.284 0.709 0.284
18 Co 0.716 0.291 0.716
19 Pr 0.000 0.000 0.000

The volume comes out at 15.6 A^3/atom. The formation energy comes out at -109 meV/atom. Its density of states at the Fermi level is 0.779 states/eV/atom. As for the total energy: -104.9 eV per cell. The crystal system is trigonal.